1.
The following is a DFT calculation (PBE) of an optimized crystal structure of InAg2Pd2.

Cell: 7.6451 7.6451 3.1464 Å, 90.00 90.00 90.00°
With the nearest neighbours (Å) after each atom.
Fractional positions:
In  0.0000  0.0000  0.0000  4 Ag 3.00, 2 In 3.15, 8 Pd 3.25
In  0.5000  0.5000  0.0000  4 Ag 3.00, 2 In 3.15, 8 Pd 3.25
Ag  0.1291  0.3709  0.0000  6 Pd 2.70-2.78, 1 Ag 2.79, 2 In 3.00
Ag  0.3709  0.8709  0.0000  6 Pd 2.70-2.78, 1 Ag 2.79, 2 In 3.00
Ag  0.6291  0.1291  0.0000  6 Pd 2.70-2.78, 1 Ag 2.79, 2 In 3.00
Ag  0.8709  0.6291  0.0000  6 Pd 2.70-2.78, 1 Ag 2.79, 2 In 3.00
Pd  0.1684  0.6684  0.5000  6 Ag 2.70-2.78
Pd  0.3316  0.1684  0.5000  6 Ag 2.70-2.78
Pd  0.6684  0.8316  0.5000  6 Ag 2.70-2.78
Pd  0.8316  0.3316  0.5000  6 Ag 2.70-2.78

## Properties
Energy   -3.78 eV/atom
Energy of formation from the pure elements   -0.1 eV/f.u.
Size of the total moment   0.00 Bohr magnetons per cell
SG   P4/mbm (127)
Crystal system   tetragonal
Energy above the lowest structure with this stoichiometry   186 meV per atom



2.
The following is a DFT calculation (PBE) of an optimized crystal structure of BiAsN2O.

Cell: 4.3200 4.3200 4.1271 Å, 90.00 90.00 90.00°
With the nearest neighbours (Å) after each atom.
Fractional positions:
Bi  0.0000  0.0000  0.0000  2 O 2.06, 4 N 2.16
As  0.5000  0.5000  0.5000  8 N 2.99, 4 O 3.05
N  0.0000  0.5000  0.0000  2 Bi 2.16
N  0.5000  0.0000  0.0000  2 Bi 2.16
O  0.0000  0.0000  0.5000  2 Bi 2.06

## Properties
Energy   -4.64 eV/atom
E_form (uncorrected)   1.391 eV per atom
Size of the total moment   0.10 Bohr magnetons per cell
SG   P4/mmm (123)
Crystal system   tetragonal



3.
The following is a DFT calculation (PBE) of an optimized crystal structure of CsMn2GeBr8.

Cell: 6.9532 6.9532 10.1153 Å, 90.00 90.00 120.00°
With the nearest neighbours (Å) after each atom.
Fractional positions:
Cs  0.0000  0.0000  0.0000  12 Br 4.03-4.07
Mn  0.3333  0.6667  0.7245  4 Br 2.41-2.48
Mn  0.6667  0.3333  0.2755  4 Br 2.41-2.48
Ge  0.0000  0.0000  0.5000  6 Br 2.73
Br  0.0028  0.6858  0.3394  1 Mn 2.48, 1 Ge 2.73
Br  0.3142  0.3170  0.3394  1 Mn 2.48, 1 Ge 2.73
Br  0.3170  0.0028  0.6606  1 Mn 2.48, 1 Ge 2.73
Br  0.3333  0.6667  0.9624  1 Mn 2.41
Br  0.6667  0.3333  0.0376  1 Mn 2.41
Br  0.6830  0.9972  0.3394  1 Mn 2.48, 1 Ge 2.73
Br  0.6858  0.6830  0.6606  1 Mn 2.48, 1 Ge 2.73
Br  0.9972  0.3142  0.6606  1 Mn 2.48, 1 Ge 2.73

## Properties
Energy   -3.94 eV/atom
E_form (uncorrected)   -0.844 eV per atom
Size of the total moment   9.00 Bohr magnetons per cell
SG   P-3 (147)
Crystal system   trigonal



4.
The following is a DFT calculation (PBE) of an optimized crystal structure of Pm5Mo2C4.

Cell: 8.2728 8.2728 8.2728 Å, 152.80 110.27 76.36°
With the nearest neighbours (Å) after each atom.
Fractional positions:
Pm  0.0000  0.0000  0.0000  4 C 2.49
Pm  0.1779  0.3588  0.8192  3 C 2.35-2.62
Pm  0.4604  0.6412  0.8192  3 C 2.35-2.62
Pm  0.5396  0.3588  0.1808  3 C 2.35-2.62
Pm  0.8221  0.6412  0.1808  3 C 2.35-2.62
Mo  0.1864  0.6864  0.5000  1 C 1.87
Mo  0.8136  0.3136  0.5000  1 C 1.87
C  0.1642  0.5000  0.6642  4 Pm 2.35-2.49
C  0.3301  0.8301  0.5000  1 Mo 1.87
C  0.6699  0.1699  0.5000  1 Mo 1.87
C  0.8358  0.5000  0.3358  4 Pm 2.35-2.49

## Properties
Energy   -7.08 eV/atom
Energy of formation from the pure elements   4.4 eV/f.u.
Size of the total moment   0.00 Bohr magnetons per cell
SG   Immm (71)
Crystal system   orthorhombic



5.
The following is a DFT calculation (PBE) of an optimized crystal structure of PrH7Rh4.

Cell: 9.3718 5.4272 4.6588 Å, 90.00 90.00 90.00°
With the nearest neighbours (Å) after each atom.
Fractional positions:
Pr  0.0000  0.2324  0.0000  6 H 2.47-2.58
Pr  0.5000  0.7676  0.5000  6 H 2.47-2.58
H  0.0000  0.7707  0.6342  2 Rh 1.75
H  0.1050  0.1805  0.5095  2 Rh 1.69-1.82
H  0.1334  0.5900  0.3357  3 Rh 1.80-1.84
H  0.1838  0.9211  0.8840  3 Rh 1.79-1.87
H  0.3162  0.0789  0.3840  3 Rh 1.79-1.87
H  0.3666  0.4100  0.8357  3 Rh 1.80-1.84
H  0.3950  0.8194  0.0095  2 Rh 1.69-1.82
H  0.5000  0.2293  0.1342  2 Rh 1.75
H  0.6050  0.8194  0.0095  2 Rh 1.69-1.82
H  0.6334  0.4100  0.8357  3 Rh 1.80-1.84
H  0.6838  0.0789  0.3840  3 Rh 1.79-1.87
H  0.8162  0.9211  0.8840  3 Rh 1.79-1.87
H  0.8666  0.5900  0.3357  3 Rh 1.80-1.84
H  0.8950  0.1805  0.5095  2 Rh 1.69-1.82
Rh  0.1616  0.8857  0.5038  5 H 1.69-1.87
Rh  0.2417  0.6144  0.0077  4 H 1.80-1.84
Rh  0.2583  0.3856  0.5077  4 H 1.80-1.84
Rh  0.3384  0.1143  0.0038  5 H 1.69-1.87
Rh  0.6616  0.1143  0.0038  5 H 1.69-1.87
Rh  0.7417  0.3856  0.5077  4 H 1.80-1.84
Rh  0.7583  0.6144  0.0077  4 H 1.80-1.84
Rh  0.8384  0.8857  0.5038  5 H 1.69-1.87

## Properties
Energy   -5.00 eV/atom
Size of the total moment   0.00 Bohr magnetons per cell
SG   Pmn2_1 (31)
Crystal system   orthorhombic



6.
The following is a DFT calculation (PBE) of an optimized crystal structure of Cs5CdH6.

Cell: 7.5043 7.5043 7.2570 Å, 98.79 98.79 121.76°
With the nearest neighbours (Å) after each atom.
Fractional positions:
Cs  0.0000  0.0000  0.0000  6 H 3.14-3.42
Cs  0.1696  0.8304  0.5000  6 H 3.10-3.22
Cs  0.3512  0.6488  0.0000  4 H 2.95-3.04
Cs  0.6488  0.3512  0.0000  4 H 2.95-3.04
Cs  0.8304  0.1696  0.5000  6 H 3.10-3.22
Cd  0.5000  0.5000  0.5000  4 H 2.10
H  0.2128  0.4386  0.3241  1 Cd 2.10
H  0.2857  0.2857  0.7066  1 Cd 2.48
H  0.4386  0.2128  0.3241  1 Cd 2.10
H  0.5614  0.7872  0.6759  1 Cd 2.10
H  0.7143  0.7143  0.2934  1 Cd 2.48
H  0.7872  0.5614  0.6759  1 Cd 2.10

## Properties
Energy   -2.12 eV/atom
Size of the total moment   0.00 Bohr magnetons per cell
SG   C2/m (12)
Crystal system   monoclinic



7.
The following is a DFT calculation (PBE) of an optimized crystal structure of BaNaIn2Rh.

Cell: 5.2888 5.2888 5.8556 Å, 90.00 90.00 90.00°
With the nearest neighbours (Å) after each atom.
Fractional positions:
Ba  0.0000  0.0000  0.0000  2 Rh 2.93
Na  0.5000  0.5000  0.0000  4 Ba 3.74, 8 In 3.95
In  0.0000  0.5000  0.5000  2 Rh 2.64
In  0.5000  0.0000  0.5000  2 Rh 2.64
Rh  0.0000  0.0000  0.5000  4 In 2.64, 2 Ba 2.93

## Properties
Energy   -3.44 eV/atom
Energy of formation from the pure elements   -1.1 eV/f.u.
Size of the total moment   0.00 Bohr magnetons per cell
SG   P4/mmm (123)
Crystal system   tetragonal
Energy above the lowest structure with this stoichiometry   38 meV per atom



8.
The following is a DFT calculation (PBE) of an optimized crystal structure of TlAsP.

Cell: 8.1099 7.4575 3.9893 Å, 84.45 66.24 29.31°
With the nearest neighbours (Å) after each atom.
Fractional positions:
Tl  0.0000  0.0000  0.0000  2 P 3.21, 2 Tl 3.39, 2 As 3.50
As  0.2895  0.2895  0.7105  2 P 2.25
P  0.6875  0.6875  0.3125  2 As 2.25

## Properties
Energy   -3.85 eV/atom
Energy of formation from the pure elements   0.9 eV/f.u.
Size of the total moment   0.00 Bohr magnetons per cell
SG   Fmm2 (42)
Crystal system   orthorhombic
Energy above the lowest structure with this stoichiometry   234 meV per atom



9.
The following is a DFT calculation (PBE) of an optimized crystal structure of CePuBi.

Cell: 5.0518 5.0518 3.8051 Å, 90.00 90.00 120.00°
With the nearest neighbours (Å) after each atom.
Fractional positions:
Ce  0.0000  0.0000  0.0000  3 Pu 2.92
Pu  0.6667  0.3333  0.0000  3 Ce 2.92
Bi  0.3333  0.6667  0.5000  6 Ce 3.48, 6 Pu 3.48, 2 Bi 3.81

## Properties
Energy   -8.26 eV/atom
Energy of formation from the pure elements   -0.6 eV/f.u.
Size of the total moment   8.12 Bohr magnetons per cell
SG   P-6m2 (187)
Crystal system   hexagonal
Energy above the lowest structure with this stoichiometry   203 meV per atom



10.
The following is a DFT calculation (PBE) of an optimized crystal structure of Y3Cd2.

Cell: 8.6028 8.6028 7.6286 Å, 90.00 90.00 90.00°
With the nearest neighbours (Å) after each atom.
Fractional positions:
Y  0.0000  0.5000  0.2500  4 Cd 3.39, 8 Y 3.68-3.77
Y  0.0000  0.5000  0.7500  4 Cd 3.39, 8 Y 3.68-3.77
Y  0.1551  0.1551  0.0000  6 Cd 3.11-3.27
Y  0.1851  0.1851  0.5000  6 Cd 3.13-3.20
Y  0.3149  0.6851  0.0000  6 Cd 3.13-3.20
Y  0.3449  0.6551  0.5000  6 Cd 3.11-3.27
Y  0.5000  0.0000  0.2500  4 Cd 3.39, 8 Y 3.68-3.77
Y  0.5000  0.0000  0.7500  4 Cd 3.39, 8 Y 3.68-3.77
Y  0.6551  0.3449  0.5000  6 Cd 3.11-3.27
Y  0.6851  0.3149  0.0000  6 Cd 3.13-3.20
Y  0.8149  0.8149  0.5000  6 Cd 3.13-3.20
Y  0.8449  0.8449  0.0000  6 Cd 3.11-3.27
Cd  0.1284  0.8716  0.2836  8 Y 3.11-3.39, 2 Cd 3.13-3.30
Cd  0.1284  0.8716  0.7164  8 Y 3.11-3.39, 2 Cd 3.13-3.30
Cd  0.3716  0.3716  0.2164  8 Y 3.11-3.39, 2 Cd 3.13-3.30
Cd  0.3716  0.3716  0.7836  8 Y 3.11-3.39, 2 Cd 3.13-3.30
Cd  0.6284  0.6284  0.2164  8 Y 3.11-3.39, 2 Cd 3.13-3.30
Cd  0.6284  0.6284  0.7836  8 Y 3.11-3.39, 2 Cd 3.13-3.30
Cd  0.8716  0.1284  0.2836  8 Y 3.11-3.39, 2 Cd 3.13-3.30
Cd  0.8716  0.1284  0.7164  8 Y 3.11-3.39, 2 Cd 3.13-3.30

## Properties
Energy   -4.48 eV/atom
Energy of formation from the pure elements   -1.2 eV/f.u.
Size of the total moment   0.00 Bohr magnetons per cell
SG   P4_2/mnm (136)
Crystal system   tetragonal



11.
The following is a DFT calculation (PBE) of an optimized crystal structure of AcErIO6.

Cell: 5.6596 5.6596 5.2887 Å, 90.00 90.00 120.00°
With the nearest neighbours (Å) after each atom.
Fractional positions:
Ac  0.0000  0.0000  0.0000  6 O 2.56
Er  0.3333  0.6667  0.5000  6 O 2.25
I  0.6667  0.3333  0.5000  6 O 2.02
O  0.3788  0.0297  0.7147  1 I 2.02, 1 Er 2.25
O  0.3788  0.3491  0.2853  1 I 2.02, 1 Er 2.25
O  0.6509  0.0297  0.2853  1 I 2.02, 1 Er 2.25
O  0.6509  0.6212  0.7147  1 I 2.02, 1 Er 2.25
O  0.9703  0.3491  0.7147  1 I 2.02, 1 Er 2.25
O  0.9703  0.6212  0.2853  1 I 2.02, 1 Er 2.25

## Properties
Energy   -6.53 eV/atom
E_form (uncorrected)   -2.090 eV per atom
Size of the total moment   0.78 Bohr magnetons per cell
SG   P312 (149)
Crystal system   trigonal



12.
The following is a DFT calculation (PBE) of an optimized crystal structure of Rb2SrBeAs.

Cell: 6.7549 6.7549 5.9760 Å, 90.00 90.00 90.00°
With the nearest neighbours (Å) after each atom.
Fractional positions:
Rb  0.0000  0.5000  0.0000  2 As 3.38
Rb  0.5000  0.0000  0.0000  2 As 3.38
Sr  0.0000  0.0000  0.5000  2 As 2.99
Be  0.5000  0.5000  0.5000  8 Rb 4.51, 4 Sr 4.78
As  0.0000  0.0000  0.0000  2 Sr 2.99

## Properties
Energy   -2.05 eV/atom
Energy of formation from the pure elements   1.7 eV/f.u.
Size of the total moment   0.76 Bohr magnetons per cell
SG   P4/mmm (123)
Crystal system   tetragonal